1.
Compound: BaSr2In2Sb4
Source: the Alexandria database
Functional: PBE
Structure: optimized geometry

Results
M_tot = 0.00 μB per cell
Formation energy without anion corrections = -0.68 eV/atom
SG = No. 12

Cell lengths 4.740, 8.134, 9.009 Å; angles 107.92, 105.25, 90.00 degrees
Positions (direct):
1 Ba 0.000 0.000 0.000
2 Sb 0.780 0.772 0.561
3 Sb 0.220 0.228 0.439
4 Sb 0.483 0.304 0.967
5 Sb 0.517 0.696 0.033
6 In 0.331 0.005 0.661
7 In 0.669 0.995 0.339
8 Sr 0.129 0.556 0.258
9 Sr 0.871 0.444 0.742


2.
Compound: Ba2SrIn2Sb4
Source: the Alexandria database
Functional: PBE
Structure: optimized geometry

Results
M_tot = 0.00 μB per cell
Formation energy without anion corrections = -0.73 eV/atom
SG = No. 12

Cell lengths 4.833, 8.140, 9.051 Å; angles 107.59, 105.49, 90.00 degrees
Positions (direct):
1 Sr 0.000 0.000 0.000
2 In 0.666 0.991 0.332
3 In 0.334 0.009 0.668
4 Sb 0.514 0.715 0.028
5 Sb 0.212 0.209 0.424
6 Sb 0.486 0.285 0.972
7 Sb 0.788 0.791 0.576
8 Ba 0.130 0.565 0.260
9 Ba 0.870 0.435 0.740


3.
Compound: Ba2InSbTe5
Source: the Alexandria database
Functional: PBE
Structure: optimized geometry

Results
M_tot = 0.00 μB per cell
Formation energy without anion corrections = -0.94 eV/atom
SG = No. 62

Cell lengths 4.638, 14.042, 20.763 Å; angles 90.00, 90.00, 90.00 degrees
Positions (direct):
1 Ba 0.750 0.551 0.866
2 Ba 0.250 0.449 0.134
3 Ba 0.250 0.574 0.374
4 Ba 0.750 0.926 0.874
5 Ba 0.750 0.051 0.634
6 Ba 0.250 0.949 0.366
7 Ba 0.250 0.074 0.126
8 Ba 0.750 0.426 0.626
9 Te 0.750 0.997 0.244
10 Te 0.250 0.104 0.949
11 Te 0.250 0.741 0.895
12 Te 0.250 0.003 0.756
13 Te 0.250 0.604 0.551
14 Te 0.250 0.409 0.965
15 Te 0.750 0.497 0.256
16 Te 0.750 0.896 0.051
17 Te 0.750 0.091 0.465
18 Te 0.250 0.503 0.744
19 Te 0.250 0.909 0.535
20 Te 0.750 0.794 0.702
21 Te 0.750 0.294 0.798
22 Te 0.250 0.706 0.202
23 Te 0.750 0.259 0.105
24 Te 0.750 0.759 0.395
25 Te 0.250 0.241 0.605
26 Te 0.750 0.591 0.035
27 Te 0.250 0.206 0.298
28 Te 0.750 0.396 0.449
29 Sb 0.750 0.269 0.966
30 Sb 0.250 0.731 0.034
31 Sb 0.250 0.231 0.466
32 Sb 0.750 0.769 0.534
33 In 0.750 0.821 0.180
34 In 0.250 0.179 0.820
35 In 0.250 0.679 0.680
36 In 0.750 0.321 0.320


4.
Compound: BaInSbTe2
Source: the Alexandria database
Functional: PBE
Structure: optimized geometry

Results
M_tot = 0.23 μB per cell
Formation energy without anion corrections = -0.35 eV/atom
Distance to the lowest polymorph of the same formula = 0 meV per atom
SG = No. 123

Cell lengths 5.881, 5.881, 5.544 Å; angles 90.00, 90.00, 90.00 degrees
Last column: magnetic moment on the atom in μB.
Positions (direct):
1 Te 0.000 0.500 0.000  0.02
2 Te 0.500 0.000 0.000  0.02
3 Sb 0.000 0.000 0.500  0.06
4 Ba 0.500 0.500 0.500  0.00
5 In 0.000 0.000 0.000  0.00


5.
Compound: BaInSbTe2
Source: the Alexandria database
Functional: PBE
Structure: optimized geometry

Results
M_tot = 1.41 μB per cell
Formation energy without anion corrections = 0.31 eV/atom
Distance to the lowest polymorph of the same formula = 658 meV per atom
SG = No. 123

Cell lengths 6.498, 6.498, 6.436 Å; angles 90.00, 90.00, 90.00 degrees
Last column: magnetic moment on the atom in μB.
Positions (direct):
1 Sb 0.000 0.000 0.500  0.46
2 Te 0.000 0.500 0.000  0.04
3 Te 0.500 0.000 0.000  0.04
4 In 0.500 0.500 0.500  0.01
5 Ba 0.000 0.000 0.000  0.02


6.
Compound: Ba2InSbTe5
Source: the Alexandria database
Functional: PBE
Structure: optimized geometry

Results
M_tot = 0.00 μB per cell
Formation energy without anion corrections = -0.94 eV/atom
SG = No. 36

Cell lengths 4.625, 10.646, 14.107 Å; angles 90.00, 90.00, 102.55 degrees
Positions (direct):
1 Te 0.719 0.437 0.165
2 Te 0.307 0.614 0.365
3 Te 0.950 0.901 0.562
4 Te 0.646 0.293 0.499
5 Te 0.497 0.995 0.773
6 Te 0.281 0.563 0.665
7 Te 0.050 0.099 0.062
8 Te 0.503 0.005 0.273
9 Te 0.354 0.707 0.999
10 Te 0.693 0.386 0.865
11 Ba 0.113 0.226 0.685
12 Ba 0.128 0.256 0.309
13 Ba 0.872 0.744 0.809
14 Ba 0.887 0.774 0.185
15 Sb 0.215 0.431 0.021
16 Sb 0.785 0.569 0.521
17 In 0.565 0.130 0.944
18 In 0.435 0.870 0.444


7.
Compound: BaTiIn2Sb
Source: the Alexandria database
Functional: PBE
Structure: optimized geometry

Results
M_tot = 0.00 μB per cell
Formation energy without anion corrections = -0.33 eV/atom
SG = No. 123

Cell lengths 5.421, 5.421, 5.315 Å; angles 90.00, 90.00, 90.00 degrees
Positions (direct):
1 Ti 0.000 0.000 0.000
2 In 0.000 0.500 0.000
3 In 0.500 0.000 0.000
4 Sb 0.000 0.000 0.500
5 Ba 0.500 0.500 0.500


8.
Compound: BaTl2InSb2
Source: the Alexandria database
Functional: PBE
Structure: optimized geometry

Results
M_tot = 0.00 μB per cell
Formation energy without anion corrections = -0.35 eV/atom
SG = No. 26

Cell lengths 4.802, 8.403, 10.294 Å; angles 90.00, 90.00, 90.00 degrees
Positions (direct):
1 Tl 0.500 0.544 0.943
2 Tl 0.000 0.838 0.828
3 Tl 0.500 0.044 0.057
4 Tl 0.000 0.338 0.172
5 Sb 0.000 0.212 0.855
6 Sb 0.500 0.804 0.593
7 Sb 0.500 0.304 0.407
8 Sb 0.000 0.712 0.145
9 In 0.500 0.149 0.683
10 In 0.500 0.649 0.317
11 Ba 0.000 0.999 0.397
12 Ba 0.000 0.499 0.603